# 1
A plane-wave DFT calculation with PBE was carried out for a relaxed structure of Tm3NpRu8.

For the formation energy from the elements, the calculation gives -0.2488 eV/atom. For the calculated density, the calculation gives 12.241 g cm⁻³. The value obtained for the calculated total energy is -8.63 eV per atom.

The structure belongs to space group R3m (No. 160, hexagonal axes); the cell edges are 5.2964, 5.2964 and 26.0061 Å and the angles 90.00°, 90.00° and 120.00°. Symmetry generates all atoms from Tm at (0.0000, 0.0000, 0.0000), Tm at (0.0000, 0.0000, 0.1245), Tm at (0.0000, 0.0000, 0.4995), Np at (0.0000, 0.0000, 0.6249), Ru at (0.0000, 0.0000, 0.3122), Ru at (0.0000, 0.0000, 0.8124), Ru at (0.9996, 0.4998, 0.0621) and Ru at (0.0000, 0.5000, 0.5623).

# 2
A plane-wave DFT calculation with PBE was carried out for a relaxed structure of Np2U5Ru3.

For the formation energy from the elements, the calculation gives 0.1796 eV/atom. For the calculated density, the calculation gives 15.548 g cm⁻³. The value obtained for the calculated total energy is -10.84 eV per atom.

The structure belongs to space group Ibam (No. 72); the cell edges are 7.558, 12.628 and 8.806 Å and the angles 90.00°, 90.00° and 90.00°. Symmetry generates all atoms from Np at (0.070, 0.123, 0.000), U at (0.000, 0.223, 0.250), U at (0.000, 0.500, 0.250), U at (0.242, 0.391, 0.000), Ru at (0.000, 0.000, 0.250) and Ru at (0.085, 0.353, 0.500).